Below is a geometry-optimized AlFeBr2 structure, with properties calculated at the PBE level.

Unit cell a=7.028 b=7.028 c=7.028 alpha=90.00 beta=90.00 gamma=90.00
Space group Fm-3m (No. 225)
Unique sites:
Al 0.000 0.000 0.000 [4 per cell]
Fe 0.000 0.000 0.500 [4 per cell]
Br 0.250 0.250 0.250 [8 per cell]

## Properties
Total magnetic moment in μB per atom: 0.799
Volume in Å³/cell: 347
Formation energy without anion corrections in meV/atom: 357
Distance to the lowest polymorph of the same formula in meV per atom: 632

Below is a geometry-optimized Na3Er2PuSe6 structure, with properties calculated at the PBE level.

Unit cell a=7.202 b=12.475 c=7.377 alpha=90.00 beta=108.99 gamma=90.00
Space group C2/m (No. 12)
Unique sites:
Na 0.000 0.000 0.000 [2 per cell]
Na 0.000 0.334 0.000 [4 per cell]
Er 0.000 0.167 0.500 [4 per cell]
Pu 0.000 0.500 0.500 [2 per cell]
Se 0.237 0.000 0.729 [4 per cell]
Se 0.246 0.330 0.729 [8 per cell]

## Properties
Total magnetic moment in μB per atom: 0.417
Volume in Å³/cell: 627
Formation energy without anion corrections in meV/atom: -1588

Below is a geometry-optimized Yb6P19Rh30 structure, with properties calculated at the PBE level.

Unit cell a=15.6358 b=15.6358 c=3.8151 alpha=90.00 beta=90.00 gamma=120.00
Space group P-3 (No. 147)
Unique sites:
Yb 0.0970 0.7031 0.2502 [6 per cell]
P 0.0000 0.0000 0.5000 [1 per cell]
P 0.0604 0.4316 0.2489 [6 per cell]
P 0.1163 0.8586 0.7534 [6 per cell]
P 0.2304 0.6825 0.7492 [6 per cell]
Rh 0.0222 0.8739 0.2523 [6 per cell]
Rh 0.0473 0.2762 0.2467 [6 per cell]
Rh 0.0738 0.5385 0.7497 [6 per cell]
Rh 0.1554 0.4156 0.7477 [6 per cell]
Rh 0.2231 0.5717 0.2481 [6 per cell]

## Properties
Total magnetic moment in μB per atom: 0.021
Volume in Å³/cell: 808
Formation energy in eV per atom: -0.910

Below is a geometry-optimized Y8Er2Th structure, with properties calculated at the PBE level.

Unit cell a=16.457 b=6.629 c=6.728 alpha=90.00 beta=100.76 gamma=90.00
Space group C2/m (No. 12)
Unique sites:
Y 0.088 0.235 0.413 [8 per cell]
Y 0.091 0.000 0.916 [4 per cell]
Y 0.238 0.500 0.295 [4 per cell]
Er 0.204 0.500 0.793 [4 per cell]
Th 0.000 0.500 0.000 [2 per cell]

## Properties
Total magnetic moment in μB per atom: 0.000
Volume in Å³/cell: 721
Distance to the lowest polymorph of the same formula in meV per atom: 168
Formation energy in eV per atom: 0.202

Below is a geometry-optimized SiIr structure, with properties calculated at the PBE level.

Unit cell a=2.805 b=2.805 c=7.362 alpha=90.00 beta=90.00 gamma=90.00
Space group P4/nmm (No. 129, origin choice 2)
Unique sites:
Si 0.250 0.250 0.150 [2 per cell]
Ir 0.250 0.250 0.643 [2 per cell]

## Properties
Total magnetic moment in μB per atom: 0.000
Volume in Å³/cell: 58
Formation energy without anion corrections in meV/atom: -107

Below is a geometry-optimized ReSbBr2 structure, with properties calculated at the PBE level.

Unit cell a=7.100 b=7.100 c=7.100 alpha=90.00 beta=90.00 gamma=90.00
Space group Fm-3m (No. 225)
Unique sites:
Re 0.000 0.000 0.000 [4 per cell]
Sb 0.000 0.000 0.500 [4 per cell]
Br 0.250 0.250 0.250 [8 per cell]

## Properties
Total magnetic moment in μB per atom: 0.694
Volume in Å³/cell: 358
Formation energy without anion corrections in meV/atom: 1303
Distance to the lowest polymorph of the same formula in meV per atom: 1064

Which value of total magnetic moment does entry 1 give?
0.799 μB per atom

total magnetic moment of number 6 (ReSbBr2)?
0.694 μB per atom

volume of number 2 (Na3Er2PuSe6)?
627 Å³/cell

Which value of total magnetic moment does entry 1 give?
0.799 μB per atom